Entry 1:
{
  "formula": "CdNiAs2S",
  "functional": "PBE",
  "state": "relaxed",
  "cell": [[-2.4264, 4.4344, -0.2943], [-2.9319, -1.8250, -3.3267], [-3.1884, -1.5034, 3.6348]],
  "species": ["Ni", "As", "As", "S", "Cd"],
  "fractional_positions": [[0.0000, 0.5000, 0.0000], [0.0000, 0.0000, 0.5000], [0.5000, 0.0000, 0.0000], [0.5000, 0.5000, 0.5000], [0.0000, 0.0000, 0.0000]],
  "n_ef_per_ev_cell": 5.876,
  "space_group": "No. 123",
  "e_form_raw_mev_per_atom": 1327
}



Entry 2:
{
  "formula": "Sr2CdNi3As4",
  "functional": "PBE",
  "state": "relaxed",
  "cell": [[-2.8805, 1.6195, -2.8053], [2.5807, -1.1215, -3.2973], [-4.6031, -9.0791, -0.5147]],
  "species": ["Ni", "Ni", "Ni", "As", "As", "As", "As", "Sr", "Sr", "Cd"],
  "fractional_positions": [[0.0000, 0.0000, 0.5000], [0.0000, 0.5000, 0.1089], [0.5000, 0.0000, 0.8911], [0.0000, 0.5000, 0.3461], [0.5000, 0.5000, 0.0000], [0.5000, 0.0000, 0.6539], [0.0000, 0.0000, 0.0000], [0.5000, 0.0000, 0.2360], [0.0000, 0.5000, 0.7640], [0.5000, 0.5000, 0.5000]],
  "n_ef_per_ev_cell": 3.669,
  "final_energy_ev_per_atom": -4.618,
  "space_group": "No. 115"
}



Entry 3:
{
  "formula": "Cd2TcNiAs",
  "functional": "PBE",
  "state": "relaxed",
  "cell": [[5.0311, 0.0000, 0.0000], [0.0000, 4.6092, 0.0000], [0.0000, 0.0000, 5.0311]],
  "species": ["As", "Tc", "Cd", "Cd", "Ni"],
  "fractional_positions": [[0.0000, 0.0000, 0.0000], [0.0000, 0.5000, 0.0000], [0.5000, 0.0000, 0.0000], [0.0000, 0.0000, 0.5000], [0.5000, 0.5000, 0.5000]],
  "n_ef_per_ev_cell": 4.832,
  "final_energy_ev_per_atom": -3.380,
  "space_group": "No. 123"
}



Entry 4:
{
  "formula": "TlCd2NiAs",
  "functional": "PBE",
  "state": "relaxed",
  "cell": [[-2.9572, -3.6182, -2.0941], [0.4846, -2.5319, 3.6903], [-4.1440, 2.1988, 2.0527]],
  "species": ["As", "Cd", "Cd", "Ni", "Tl"],
  "fractional_positions": [[0.0000, 0.5000, 0.0000], [0.0000, 0.0000, 0.5000], [0.5000, 0.0000, 0.0000], [0.0000, 0.0000, 0.0000], [0.5000, 0.5000, 0.5000]],
  "n_ef_per_ev_cell": 2.769,
  "final_energy_ev_per_atom": -2.873,
  "space_group": "No. 123"
}



Entry 5:
{
  "formula": "Y2CdNiAs",
  "functional": "PBE",
  "state": "relaxed",
  "cell": [[-4.7906, 2.0296, 1.6418], [-2.0787, -2.8906, -2.4921], [-0.0718, -3.5324, 4.1571]],
  "species": ["Y", "Y", "Cd", "As", "Ni"],
  "fractional_positions": [[0.5000, 0.0000, 0.0000], [0.0000, 0.0000, 0.5000], [0.5000, 0.5000, 0.5000], [0.0000, 0.0000, 0.0000], [0.0000, 0.5000, 0.0000]],
  "n_ef_per_ev_cell": 4.747,
  "de_polymorph_ev_per_atom": 0.000,
  "space_group": "No. 123"
}



Entry 6:
{
  "formula": "Y2CdNiAs",
  "functional": "PBE",
  "state": "relaxed",
  "cell": [[5.3690, 0.0000, 0.0000], [0.0000, 4.9235, 0.0000], [0.0000, 0.0000, 5.3690]],
  "species": ["Y", "Y", "Cd", "As", "Ni"],
  "fractional_positions": [[0.0000, 0.0000, 0.5000], [0.5000, 0.0000, 0.0000], [0.0000, 0.5000, 0.0000], [0.0000, 0.0000, 0.0000], [0.5000, 0.5000, 0.5000]],
  "n_ef_per_ev_cell": 3.630,
  "de_polymorph_ev_per_atom": 0.502,
  "space_group": "No. 123"
}



Entry 7:
{
  "formula": "NpCdAs2",
  "functional": "PBE",
  "state": "relaxed",
  "cell": [[4.3476, 0.0000, 0.0000], [2.1738, 3.7651, 0.0000], [2.1738, 1.2550, 7.8262]],
  "species": ["Np", "Cd", "As", "As"],
  "fractional_positions": [[0.5000, 0.5000, 0.5000], [0.0000, 0.0000, 0.0000], [0.1077, 0.1077, 0.6769], [0.8923, 0.8923, 0.3231]],
  "n_ef_per_ev_cell": 9.652,
  "de_polymorph_ev_per_atom": 0.263,
  "space_group": "No. 166"
}



Entry 8:
{
  "formula": "Np2CdAs4",
  "functional": "PBE",
  "state": "relaxed",
  "cell": [[-0.3611, 1.4060, 3.6403], [-2.8146, -2.6262, 0.7352], [7.1740, -6.7585, 3.3220]],
  "species": ["Np", "Np", "As", "As", "As", "As", "Cd"],
  "fractional_positions": [[0.5000, 0.0000, 0.7200], [0.0000, 0.5000, 0.2800], [0.0000, 0.5000, 0.8111], [0.0000, 0.0000, 0.5000], [0.5000, 0.0000, 0.1889], [0.5000, 0.5000, 0.5000], [0.5000, 0.5000, 0.0000]],
  "n_ef_per_ev_cell": 15.422,
  "final_energy_ev_per_atom": -6.936,
  "space_group": "No. 115"
}



Entry 9:
{
  "formula": "NpCdAs2",
  "functional": "PBE",
  "state": "relaxed",
  "cell": [[-1.7367, 3.3287, 0.1264], [-0.2053, -0.2844, 4.6691], [4.1467, 2.1516, 0.3134]],
  "species": ["Np", "As", "As", "Cd"],
  "fractional_positions": [[0.5000, 0.0000, 0.0000], [0.0000, 0.0000, 0.5000], [0.0000, 0.5000, 0.0000], [0.5000, 0.5000, 0.5000]],
  "n_ef_per_ev_cell": 8.569,
  "de_polymorph_ev_per_atom": 0.000,
  "space_group": "No. 123"
}



Entry 10:
{
  "formula": "NpCdAs2",
  "functional": "PBE",
  "state": "relaxed",
  "cell": [[-3.8203, -0.6786, 1.4935], [-0.5756, -0.5008, 4.0870], [-2.3383, 5.9662, 2.5165]],
  "species": ["Cd", "Np", "As", "As"],
  "fractional_positions": [[0.4945, 0.4945, 0.5164], [0.6687, 0.6687, 0.9940], [0.2564, 0.2564, 0.2309], [0.0804, 0.0804, 0.7588]],
  "n_ef_per_ev_cell": 9.552,
  "de_polymorph_ev_per_atom": 0.075,
  "space_group": "No. 160"
}



Entry 11:
{
  "formula": "NpCdAs2Rh5",
  "functional": "PBE",
  "state": "relaxed",
  "cell": [[-0.5699, -3.0847, -2.4875], [2.6345, -2.1722, 2.0902], [-8.2461, -3.7309, 6.5160]],
  "species": ["As", "As", "Rh", "Rh", "Rh", "Rh", "Rh", "Np", "Cd"],
  "fractional_positions": [[0.5000, 0.5000, 0.2856], [0.5000, 0.5000, 0.7144], [0.0000, 0.5000, 0.1720], [0.0000, 0.5000, 0.8280], [0.5000, 0.0000, 0.1720], [0.5000, 0.5000, 0.5000], [0.5000, 0.0000, 0.8280], [0.0000, 0.0000, 0.5000], [0.0000, 0.0000, 0.0000]],
  "n_ef_per_ev_cell": 12.438,
  "final_energy_ev_per_atom": -6.782,
  "space_group": "No. 123"
}



Entry 12:
{
  "formula": "Sr2NpCd2As4",
  "functional": "PBE",
  "state": "relaxed",
  "cell": [[4.2899, 0.0000, 0.0000], [0.0000, 7.5933, 0.1232], [-2.1450, -2.8865, 7.2287]],
  "species": ["Sr", "Sr", "As", "As", "As", "As", "Cd", "Cd", "Np"],
  "fractional_positions": [[0.1307, 0.5705, 0.2615], [0.8693, 0.4295, 0.7385], [0.4971, 0.2566, 0.9941], [0.7950, 0.7753, 0.5900], [0.5029, 0.7434, 0.0059], [0.2050, 0.2247, 0.4100], [0.3252, 0.0072, 0.6504], [0.6748, 0.9928, 0.3496], [0.0000, 0.0000, 0.0000]],
  "n_ef_per_ev_cell": 10.085,
  "final_energy_ev_per_atom": -4.780,
  "space_group": "No. 12"
}



Entry 13:
{
  "formula": "Cd2As2O7",
  "functional": "PBE",
  "state": "relaxed",
  "cell": [[-5.0050, -2.9091, 0.6966], [1.7296, -1.2917, -5.4164], [1.9739, -4.4323, 1.0019]],
  "species": ["O", "O", "O", "O", "O", "O", "O", "Cd", "Cd", "As", "As"],
  "fractional_positions": [[0.9201, 0.6103, 0.7227], [0.0799, 0.3897, 0.2773], [0.6103, 0.9201, 0.7227], [0.3873, 0.3873, 0.7831], [0.0000, 0.0000, 0.0000], [0.6127, 0.6127, 0.2169], [0.3897, 0.0799, 0.2773], [0.3046, 0.6954, 0.5000], [0.6954, 0.3046, 0.5000], [0.7736, 0.7736, 0.9086], [0.2264, 0.2264, 0.0914]],
  "n_ef_per_ev_cell": 0.000,
  "space_group": "No. 12",
  "e_form_raw_mev_per_atom": -1224
}



Entry 14:
{
  "formula": "CdAsO3",
  "functional": "PBE",
  "state": "relaxed",
  "cell": [[-6.1271, -1.1998, 3.0826], [-0.2836, -6.6269, 2.2613], [0.5568, 1.0254, 6.9100]],
  "species": ["O", "O", "O", "O", "O", "O", "O", "O", "O", "O", "O", "O", "As", "As", "As", "As", "Cd", "Cd", "Cd", "Cd"],
  "fractional_positions": [[0.8551, 0.8770, 0.3820], [0.3371, 0.0234, 0.2080], [0.1629, 0.7920, 0.9766], [0.6449, 0.6180, 0.1230], [0.9119, 0.3312, 0.3621], [0.1449, 0.1230, 0.6180], [0.6629, 0.9766, 0.7920], [0.8371, 0.2080, 0.0234], [0.0881, 0.6688, 0.6379], [0.5881, 0.6379, 0.6688], [0.4119, 0.3621, 0.3312], [0.3551, 0.3820, 0.8770], [0.7954, 0.7692, 0.6319], [0.7046, 0.3681, 0.2308], [0.2046, 0.2308, 0.3681], [0.2954, 0.6319, 0.7692], [0.2500, 0.1084, 0.8916], [0.2500, 0.7233, 0.2767], [0.7500, 0.8916, 0.1084], [0.7500, 0.2767, 0.7233]],
  "n_ef_per_ev_cell": 3.414,
  "space_group": "No. 15",
  "e_form_raw_mev_per_atom": -1080
}



Entry 15:
{
  "formula": "CdAs3O",
  "functional": "PBE",
  "state": "relaxed",
  "cell": [[4.4952, 0.0000, 0.0000], [0.0000, 4.4952, 0.0000], [0.0000, 0.0000, 4.4952]],
  "species": ["As", "As", "As", "O", "Cd"],
  "fractional_positions": [[0.0000, 0.5000, 0.0000], [0.5000, 0.0000, 0.0000], [0.0000, 0.0000, 0.5000], [0.0000, 0.0000, 0.0000], [0.5000, 0.5000, 0.5000]],
  "n_ef_per_ev_cell": 3.859,
  "de_polymorph_ev_per_atom": 0.000,
  "space_group": "No. 221",
  "e_form_raw_mev_per_atom": 273
}



Entry 16:
{
  "formula": "Cd2AsO",
  "functional": "PBE",
  "state": "relaxed",
  "cell": [[3.5676, -2.3235, 1.8841], [-0.5970, -4.3685, 1.4956], [1.9533, -3.5389, -2.3103]],
  "species": ["As", "Cd", "Cd", "O"],
  "fractional_positions": [[0.5000, 0.5000, 0.5000], [0.7500, 0.7500, 0.7500], [0.2500, 0.2500, 0.2500], [0.0000, 0.0000, 0.0000]],
  "n_ef_per_ev_cell": 3.743,
  "de_polymorph_ev_per_atom": 0.560,
  "space_group": "No. 225",
  "e_form_raw_mev_per_atom": 119
}



Entry 17:
{
  "formula": "Cd2AsO",
  "functional": "PBE",
  "state": "relaxed",
  "cell": [[5.8424, 0.0000, 0.0000], [0.0000, 5.8424, 0.0000], [2.9212, 2.9212, 5.2495]],
  "species": ["Cd", "Cd", "Cd", "Cd", "As", "As", "O", "O"],
  "fractional_positions": [[0.3750, 0.4402, 0.7500], [0.5598, 0.1250, 0.2500], [0.1902, 0.6250, 0.2500], [0.8750, 0.8098, 0.7500], [0.7500, 0.2500, 0.5000], [0.0000, 0.0000, 0.0000], [0.5000, 0.5000, 0.0000], [0.2500, 0.7500, 0.5000]],
  "n_ef_per_ev_cell": 6.149,
  "de_polymorph_ev_per_atom": 0.091,
  "space_group": "No. 122",
  "e_form_raw_mev_per_atom": -350
}



Entry 18:
{
  "formula": "CdAsO",
  "functional": "PBE",
  "state": "relaxed",
  "cell": [[-1.7070, 1.9414, -2.2715], [-2.5340, -5.2124, -2.5506], [-7.2278, 1.9470, 7.0957]],
  "species": ["Cd", "Cd", "Cd", "Cd", "As", "As", "As", "As", "O", "O", "O", "O"],
  "fractional_positions": [[0.2500, 0.5940, 0.3809], [0.7500, 0.4060, 0.6191], [0.7500, 0.9031, 0.6174], [0.2500, 0.0969, 0.3826], [0.2500, 0.9748, 0.0820], [0.2500, 0.5664, 0.0819], [0.7500, 0.4336, 0.9181], [0.7500, 0.0252, 0.9180], [0.7500, 0.8454, 0.3785], [0.2500, 0.6546, 0.6155], [0.2500, 0.1546, 0.6215], [0.7500, 0.3454, 0.3845]],
  "n_ef_per_ev_cell": 1.114,
  "space_group": "No. 11",
  "e_form_raw_mev_per_atom": -555
}



Entry 19:
{
  "formula": "Cd3AsO4",
  "functional": "PBE",
  "state": "relaxed",
  "cell": [[4.9138, 0.0000, 0.0000], [0.0000, 4.8923, 0.0000], [0.0000, 0.0000, 9.5019]],
  "species": ["O", "O", "O", "O", "O", "O", "O", "O", "Cd", "Cd", "Cd", "Cd", "Cd", "Cd", "As", "As"],
  "fractional_positions": [[0.5528, 0.7482, 0.2667], [0.5528, 0.7482, 0.7333], [0.0528, 0.2518, 0.7667], [0.1677, 0.7411, 0.5000], [0.6677, 0.2589, 0.0000], [0.5641, 0.1341, 0.5000], [0.0528, 0.2518, 0.2333], [0.0641, 0.8659, 0.0000], [0.5447, 0.2541, 0.2498], [0.0475, 0.2506, 0.5000], [0.5475, 0.7494, 0.0000], [0.0447, 0.7459, 0.7498], [0.0447, 0.7459, 0.2502], [0.5447, 0.2541, 0.7502], [0.0410, 0.2402, 0.0000], [0.5410, 0.7598, 0.5000]],
  "n_ef_per_ev_cell": 4.123,
  "space_group": "No. 31",
  "e_form_raw_mev_per_atom": -891
}



Entry 20:
{
  "formula": "Cd2AsO4",
  "functional": "PBE",
  "state": "relaxed",
  "cell": [[3.2720, 0.0000, 0.0000], [0.0000, 5.7262, -0.2942], [-1.6360, -3.0680, 5.1883]],
  "species": ["Cd", "Cd", "O", "O", "O", "O", "As"],
  "fractional_positions": [[0.3246, 0.3081, 0.6492], [0.6754, 0.6919, 0.3508], [0.8784, 0.1179, 0.7568], [0.1216, 0.8821, 0.2432], [0.3953, 0.7495, 0.7907], [0.6047, 0.2505, 0.2093], [0.0000, 0.0000, 0.0000]],
  "n_ef_per_ev_cell": 1.256,
  "space_group": "No. 12",
  "e_form_raw_mev_per_atom": -936
}